Record 1
# KN4 | Alexandria | PBE-GGA | optimized geometry
# Energy in eV/f.u.: -16.194
# Distance to the lowest polymorph of the same formula in meV/atom: 3727.2
# Formation energy without anion corrections in kJ per mole of atoms: 351.3
data_KN4
_symmetry_space_group_name_H-M 'P m -3 m'
_symmetry_Int_Tables_number 221
_symmetry_space_group_name_Hall '-P 4 2 3'
_cell_length_a 5.7830
_cell_length_b 5.7830
_cell_length_c 5.7830
_cell_angle_alpha 90.00
_cell_angle_beta 90.00
_cell_angle_gamma 90.00
loop_
_atom_site_label
_atom_site_fract_x
_atom_site_fract_y
_atom_site_fract_z
K1 0.0000 0.0000 0.0000
N1 0.0000 0.0000 0.5000
N2 0.5000 0.5000 0.5000

---

Record 2
# Al2FeGePb | Alexandria | PBE-GGA | optimized geometry
# Energy in eV/f.u.: -23.469
# Formation energy from the elements in eV per atom: 0.16
data_Al2FeGePb
_symmetry_space_group_name_H-M 'P 4/m m m'
_symmetry_Int_Tables_number 123
_symmetry_space_group_name_Hall '-P 4 2'
_cell_length_a 4.7206
_cell_length_b 4.7206
_cell_length_c 4.5155
_cell_angle_alpha 90.00
_cell_angle_beta 90.00
_cell_angle_gamma 90.00
loop_
_atom_site_label
_atom_site_fract_x
_atom_site_fract_y
_atom_site_fract_z
Al1 0.0000 0.5000 0.0000
Fe1 0.0000 0.0000 0.0000
Ge1 0.0000 0.0000 0.5000
Pb1 0.5000 0.5000 0.5000

---

Record 3
# LiReIO2 | Alexandria | PBE-GGA | optimized geometry
# Energy in eV/f.u.: -30.876
# Distance to the lowest polymorph of the same formula in meV/atom: 0.0
# Formation energy without anion corrections in kJ per mole of atoms: -97.4
data_LiReIO2
_symmetry_space_group_name_H-M 'P 4/m m m'
_symmetry_Int_Tables_number 123
_symmetry_space_group_name_Hall '-P 4 2'
_cell_length_a 3.8362
_cell_length_b 3.8362
_cell_length_c 6.2112
_cell_angle_alpha 90.00
_cell_angle_beta 90.00
_cell_angle_gamma 90.00
loop_
_atom_site_label
_atom_site_fract_x
_atom_site_fract_y
_atom_site_fract_z
Li1 0.0000 0.0000 0.0000
Re1 0.5000 0.5000 0.5000
I1 0.5000 0.5000 0.0000
O1 0.0000 0.5000 0.5000

---

Record 4
# Te2RhI | Alexandria | PBE-GGA | optimized geometry
# Energy in eV/f.u.: -15.592
# Formation energy without anion corrections in kJ per mole of atoms: -9.8
data_Te2RhI
_symmetry_space_group_name_H-M 'P n a 21'
_symmetry_Int_Tables_number 33
_symmetry_space_group_name_Hall 'P 2c -2n'
_cell_length_a 6.7400
_cell_length_b 10.6162
_cell_length_c 6.3321
_cell_angle_alpha 90.00
_cell_angle_beta 90.00
_cell_angle_gamma 90.00
loop_
_atom_site_label
_atom_site_fract_x
_atom_site_fract_y
_atom_site_fract_z
Te1 0.0464 0.1867 0.0000
Te2 0.1516 0.4757 0.4498
Rh1 0.1835 0.4118 0.0368
I1 0.1537 0.1410 0.4906

---

Record 5
# CrCd3 | Alexandria | PBE-GGA | optimized geometry
# Energy in eV/f.u.: -11.443
# Formation energy from the elements in eV per atom: 0.23
data_CrCd3
_symmetry_space_group_name_H-M 'P m -3 m'
_symmetry_Int_Tables_number 221
_symmetry_space_group_name_Hall '-P 4 2 3'
_cell_length_a 4.3240
_cell_length_b 4.3240
_cell_length_c 4.3240
_cell_angle_alpha 90.00
_cell_angle_beta 90.00
_cell_angle_gamma 90.00
loop_
_atom_site_label
_atom_site_fract_x
_atom_site_fract_y
_atom_site_fract_z
Cr1 0.0000 0.0000 0.0000
Cd1 0.0000 0.5000 0.5000

---

Record 6
# Sm15Dy4In | Alexandria | PBE-GGA | optimized geometry
# Energy in eV/f.u.: -92.652
# Formation energy from the elements in eV per atom: -0.04
data_Sm15Dy4In
_symmetry_space_group_name_H-M 'P 4/m m m'
_symmetry_Int_Tables_number 123
_symmetry_space_group_name_Hall '-P 4 2'
_cell_length_a 5.0534
_cell_length_b 5.0534
_cell_length_c 25.5211
_cell_angle_alpha 90.00
_cell_angle_beta 90.00
_cell_angle_gamma 90.00
loop_
_atom_site_label
_atom_site_fract_x
_atom_site_fract_y
_atom_site_fract_z
Sm1 0.0000 0.0000 0.0000
Sm2 0.0000 0.0000 0.1966
Sm3 0.0000 0.0000 0.3988
Sm4 0.0000 0.5000 0.0966
Sm5 0.0000 0.5000 0.2983
Sm6 0.0000 0.5000 0.5000
Dy1 0.5000 0.5000 0.1978
Dy2 0.5000 0.5000 0.3995
In1 0.5000 0.5000 0.0000

---

Record 7
# Mn2V5Ga | Alexandria | PBE-GGA | optimized geometry
# Energy in eV/f.u.: -66.206
# Formation energy from the elements in eV per atom: 0.09
data_Mn2V5Ga
_symmetry_space_group_name_H-M 'I 4/m c m'
_symmetry_Int_Tables_number 140
_symmetry_space_group_name_Hall '-I 4 2c'
_cell_length_a 5.9303
_cell_length_b 5.9303
_cell_length_c 12.2146
_cell_angle_alpha 90.00
_cell_angle_beta 90.00
_cell_angle_gamma 90.00
loop_
_atom_site_label
_atom_site_fract_x
_atom_site_fract_y
_atom_site_fract_z
Mn1 0.1473 0.3527 0.0000
V1 0.0000 0.0000 0.0000
V2 0.1628 0.3372 0.3485
Ga1 0.0000 0.0000 0.2500

---

Record 8
# ThCuSb | Alexandria | PBE-GGA | optimized geometry
# Energy in eV/f.u.: -16.761
# Formation energy without anion corrections in kJ per mole of atoms: -36.1
data_ThCuSb
_symmetry_space_group_name_H-M 'P 1 21/m 1'
_symmetry_Int_Tables_number 11
_symmetry_space_group_name_Hall '-P 2yb'
_cell_length_a 6.3933
_cell_length_b 4.3131
_cell_length_c 6.4414
_cell_angle_alpha 90.00
_cell_angle_beta 117.24
_cell_angle_gamma 90.00
loop_
_atom_site_label
_atom_site_fract_x
_atom_site_fract_y
_atom_site_fract_z
Th1 0.1396 0.2500 0.2998
Cu1 0.2249 0.2500 0.8689
Sb1 0.3705 0.7500 0.7119